# NaLa (PBE-GGA, relaxed)
data_NaLa
_chemical_formula_sum 'Na2 La2'
_cell_length_a 3.660
_cell_length_b 5.864
_cell_length_c 6.667
_cell_angle_alpha 90.00
_cell_angle_beta 90.00
_cell_angle_gamma 90.00
_space_group_name_H-M_alt 'P m m n'
_space_group_IT_number 59
loop_
_space_group_symop_operation_xyz
'x,y,z'
'-x,-y,-z'
'-x+1/2,-y+1/2,z'
'x+1/2,y+1/2,-z'
'x+1/2,-y,-z'
'-x+1/2,y,z'
'-x,y+1/2,-z'
'x,-y+1/2,z'
loop_
_atom_site_label
_atom_site_type_symbol
_atom_site_fract_x
_atom_site_fract_y
_atom_site_fract_z
Na1 Na 0.250 0.250 0.065
La1 La 0.250 0.750 0.445
# Offset from the most stable computed form ... 0.098 eV per atom
# V ... 35.8 A^3/atom

***

# NaLa4 (PBE-GGA, relaxed)
data_NaLa4
_chemical_formula_sum 'Na1 La4'
_cell_length_a 5.871
_cell_length_b 5.871
_cell_length_c 5.871
_cell_angle_alpha 90.00
_cell_angle_beta 90.00
_cell_angle_gamma 90.00
_space_group_name_H-M_alt 'P m -3 m'
_space_group_IT_number 221
_space_group_name_Hall '-P 4 2 3'
loop_
_atom_site_label
_atom_site_type_symbol
_atom_site_fract_x
_atom_site_fract_y
_atom_site_fract_z
Na1 Na 0.000 0.000 0.000
La1 La 0.000 0.000 0.500
La2 La 0.500 0.500 0.500
# V ... 40.5 A^3/atom

***

Computed ΔE_f, in the same sequence as the records: 0.167, 0.637 eV per atom.